Entry 1:
The following is a DFT calculation (PBE-GGA) of a relaxed Na2PbAu crystal.

Results
crystal system = tetragonal
final energy = -39.8 eV/cell

Cell lengths 8.577, 8.577, 5.960 Å; angles 90.00, 90.00, 90.00 degrees
Positions (direct):
Na  0.210  0.250  0.125
Na  0.250  0.710  0.375
Na  0.250  0.790  0.875
Na  0.290  0.250  0.625
Na  0.710  0.750  0.625
Na  0.750  0.210  0.875
Na  0.750  0.290  0.375
Na  0.790  0.750  0.125
Pb  0.000  0.000  0.500
Pb  0.000  0.500  0.750
Pb  0.500  0.000  0.250
Pb  0.500  0.500  0.000
Au  0.000  0.000  0.000
Au  0.000  0.500  0.250
Au  0.500  0.000  0.750
Au  0.500  0.500  0.500


Entry 2:
The following is a DFT calculation (PBE-GGA) of a relaxed NaPb4Au2 crystal.

Results
crystal system = orthorhombic
final energy = -46.1 eV/cell

Cell lengths 4.953, 17.338, 4.812 Å; angles 90.00, 90.00, 90.00 degrees
Positions (direct):
Na  0.000  0.000  0.000
Na  0.500  0.500  0.000
Pb  0.000  0.173  0.500
Pb  0.000  0.320  0.000
Pb  0.000  0.680  0.000
Pb  0.000  0.827  0.500
Pb  0.500  0.180  0.000
Pb  0.500  0.327  0.500
Pb  0.500  0.673  0.500
Pb  0.500  0.820  0.000
Au  0.000  0.423  0.500
Au  0.000  0.577  0.500
Au  0.500  0.077  0.500
Au  0.500  0.923  0.500